(1)
Compound: MnFeCo
Source: Alexandria via LeMat-Bulk
Functional: PBE
Structure: relaxed

Unit cell a=3.544 b=3.520 c=5.496 alpha=90.00 beta=108.80 gamma=90.00
Last column: magnetic moment on the atom in μB.
Sites, in units of the cell vectors:
1 Mn 0.412 0.250 0.825  -1.78
2 Mn 0.588 0.750 0.175  -1.78
3 Fe 0.082 0.250 0.164  1.71
4 Fe 0.918 0.750 0.836  1.71
5 Co 0.751 0.250 0.501  0.20
6 Co 0.249 0.750 0.499  0.20

Results
energy of formation from the pure elements = 0.06 eV/atom
space group = Cmcm
polymorph energy (0 for the lowest one) = 0.0199 eV per atom
V = 10.82 Å³/atom
DOS at the Fermi energy = 1.263 states/eV per atom

=====

(2)
Compound: CePuPaSb
Source: Alexandria via LeMat-Bulk
Functional: PBE
Structure: relaxed

Unit cell a=5.237 b=5.237 c=5.237 alpha=60.00 beta=60.00 gamma=60.00
Last column: magnetic moment on the atom in μB.
Sites, in units of the cell vectors:
1 Sb 0.000 0.000 0.000  -0.04
2 Pa 0.500 0.500 0.500  0.89
3 Ce 0.750 0.750 0.750  0.20
4 Pu 0.250 0.250 0.250  5.34

Results
space group = F-43m
formation energy without anion corrections = -0.143 eV/atom
V = 25.40 Å³/atom
DOS at the Fermi energy = 2.181 states/eV per atom

=====

(3)
Compound: Cs3SmAs2O8
Source: Alexandria via LeMat-Bulk
Functional: PBE
Structure: relaxed

Unit cell a=6.124 b=6.124 c=8.768 alpha=90.00 beta=90.00 gamma=120.00
Sites, in units of the cell vectors:
1 Cs 0.333 0.667 0.755
2 Cs 0.667 0.333 0.245
3 Cs 0.000 0.000 0.000
4 Sm 0.000 0.000 0.500
5 As 0.333 0.667 0.280
6 As 0.667 0.333 0.720
7 O 0.333 0.667 0.086
8 O 0.667 0.333 0.914
9 O 0.179 0.821 0.347
10 O 0.821 0.179 0.653
11 O 0.179 0.359 0.347
12 O 0.821 0.641 0.653
13 O 0.641 0.821 0.347
14 O 0.359 0.179 0.653

Results
space group = P-3m1
formation energy without anion corrections = -1.985 eV/atom
V = 20.35 Å³/atom
DOS at the Fermi energy = 0.000 states/eV per atom

=====

(4)
Compound: ReSn2Mo
Source: Alexandria via LeMat-Bulk
Functional: PBE
Structure: relaxed

Unit cell a=7.614 b=7.614 c=6.080 alpha=51.24 beta=51.24 gamma=90.00
Last column: magnetic moment on the atom in μB.
Sites, in units of the cell vectors:
1 Re 0.000 0.000 0.000  0.17
2 Re 0.750 0.250 0.500  0.17
3 Mo 0.500 0.500 0.000  1.23
4 Mo 0.250 0.750 0.500  1.23
5 Sn 0.637 0.125 0.250  -0.01
6 Sn 0.113 0.625 0.250  -0.02
7 Sn 0.375 0.363 0.750  -0.01
8 Sn 0.875 0.887 0.750  -0.01

Results
energy of formation from the pure elements = 1.06 eV/atom
space group = I-42d
polymorph energy (0 for the lowest one) = 0.5530 eV per atom
V = 20.48 Å³/atom
DOS at the Fermi energy = 0.901 states/eV per atom

=====

(5)
Compound: CaBi2RuO6
Source: Alexandria via LeMat-Bulk
Functional: PBE
Structure: relaxed

Unit cell a=5.818 b=5.818 c=5.980 alpha=90.01 beta=119.10 gamma=120.01
Last column: magnetic moment on the atom in μB.
Sites, in units of the cell vectors:
1 Ca 0.014 0.507 0.507  0.01
2 Bi 0.567 0.783 0.336  0.02
3 Bi 0.580 0.290 0.856  0.03
4 Ru 0.987 0.993 0.966  1.37
5 O 0.531 0.872 0.704  0.06
6 O 0.460 0.129 0.175  0.08
7 O 0.859 0.729 0.175  0.08
8 O 0.060 0.330 0.175  0.08
9 O 0.846 0.658 0.704  0.06
10 O 0.061 0.188 0.704  0.06

Results
space group = R3
formation energy without anion corrections = -1.457 eV/atom
V = 14.50 Å³/atom
DOS at the Fermi energy = 0.419 states/eV per atom

=====

(6)
Compound: Cs2Cu2PdCl6
Source: Alexandria via LeMat-Bulk
Functional: PBE
Structure: relaxed

Unit cell a=6.984 b=8.011 c=6.476 alpha=100.43 beta=90.00 gamma=115.84
Sites, in units of the cell vectors:
1 Cs 0.707 0.414 0.212
2 Cs 0.293 0.586 0.788
3 Cu 0.973 0.947 0.771
4 Cu 0.027 0.053 0.229
5 Pd 0.500 0.000 0.500
6 Cl 0.819 0.637 0.751
7 Cl 0.199 0.874 0.251
8 Cl 0.325 0.126 0.749
9 Cl 0.801 0.126 0.749
10 Cl 0.675 0.874 0.251
11 Cl 0.181 0.363 0.249

Results
space group = C2/m
formation energy without anion corrections = -1.050 eV/atom
V = 29.04 Å³/atom

=====

(7)
Compound: YNi2Hg
Source: Alexandria via LeMat-Bulk
Functional: PBE
Structure: relaxed

Unit cell a=4.663 b=4.663 c=4.663 alpha=60.00 beta=60.00 gamma=60.00
Sites, in units of the cell vectors:
1 Hg 0.500 0.500 0.500
2 Ni 0.000 0.000 0.000
3 Ni 0.750 0.750 0.750
4 Y 0.250 0.250 0.250

Results
energy of formation from the pure elements = -0.03 eV/atom
space group = F-43m
V = 17.93 Å³/atom
DOS at the Fermi energy = 0.571 states/eV per atom

=====

(8)
Compound: DyMg2Zr
Source: Alexandria via LeMat-Bulk
Functional: PBE
Structure: relaxed

Unit cell a=3.627 b=3.627 c=7.386 alpha=90.00 beta=90.00 gamma=90.00
Sites, in units of the cell vectors:
1 Mg 0.000 0.000 0.769
2 Mg 0.000 0.000 0.231
3 Zr 0.500 0.500 0.000
4 Dy 0.500 0.500 0.500

Results
energy of formation from the pure elements = 0.02 eV/atom
space group = P4/mmm
polymorph energy (0 for the lowest one) = 0.0000 eV per atom
V = 24.29 Å³/atom
DOS at the Fermi energy = 1.094 states/eV per atom